1.
The following is a DFT calculation (GGA-PBE) of a relaxed structure of Ho3In4AgTe8.

E ... -4.025 eV per atom

a = 8.802 Å, b = 9.192 Å, c = 8.804 Å
α = 118.62°, β = 119.99°, γ = 90.00°
Sites, in units of the cell vectors:
Ho: 0.000 0.500 0.500
Ho: 0.500 0.500 0.000
Ho: 0.500 0.500 0.500
Te: 0.247 0.732 0.494
Te: 0.754 0.269 0.015
Te: 0.738 0.731 0.985
Te: 0.246 0.731 0.985
Te: 0.258 0.274 0.516
Te: 0.262 0.269 0.015
Te: 0.742 0.726 0.484
Te: 0.753 0.268 0.506
In: 0.000 0.000 0.000
In: 0.500 0.000 0.500
In: 0.500 0.000 0.000
In: 0.000 0.000 0.500
Ag: 0.000 0.500 0.000

2.
The following is a DFT calculation (GGA-PBE) of a relaxed structure of Ho2InAgTe4.

E ... -4.323 eV per atom

a = 4.395 Å, b = 7.725 Å, c = 15.616 Å
α = 90.00°, β = 90.00°, γ = 106.53°
Sites, in units of the cell vectors:
Te: 0.729 0.458 0.607
Te: 0.000 0.000 0.000
Te: 0.729 0.458 0.893
Te: 0.541 0.082 0.250
Te: 0.000 0.000 0.500
Te: 0.271 0.542 0.107
Te: 0.459 0.918 0.750
Te: 0.271 0.542 0.393
Ho: 0.630 0.260 0.072
Ho: 0.370 0.740 0.928
Ho: 0.370 0.740 0.572
Ho: 0.630 0.260 0.428
In: 0.870 0.740 0.250
In: 0.130 0.260 0.750
Ag: 0.156 0.313 0.250
Ag: 0.844 0.687 0.750

3.
The following is a DFT calculation (GGA-PBE) of a relaxed structure of HoThInAg.

E_form ... -0.225 eV per atom

a = 5.331 Å, b = 5.331 Å, c = 5.331 Å
α = 60.00°, β = 60.00°, γ = 60.00°
Sites, in units of the cell vectors:
Th: 0.500 0.500 0.500
Ho: 0.000 0.000 0.000
In: 0.750 0.750 0.750
Ag: 0.250 0.250 0.250

4.
The following is a DFT calculation (GGA-PBE) of a relaxed structure of Ho2ThIn2Ag2.

E_form ... -0.221 eV per atom

a = 4.873 Å, b = 4.873 Å, c = 9.102 Å
α = 74.47°, β = 74.47°, γ = 60.00°
Sites, in units of the cell vectors:
Ag: 0.431 0.431 0.706
Ag: 0.569 0.569 0.294
Th: 0.000 0.000 0.000
In: 0.737 0.737 0.790
In: 0.263 0.263 0.210
Ho: 0.133 0.133 0.601
Ho: 0.867 0.867 0.399

5.
The following is a DFT calculation (GGA-PBE) of a relaxed structure of HoTiInAg.

E_form ... -0.138 eV per atom

a = 4.987 Å, b = 4.987 Å, c = 4.987 Å
α = 60.00°, β = 60.00°, γ = 60.00°
Sites, in units of the cell vectors:
Ag: 0.000 0.000 0.000
Ti: 0.250 0.250 0.250
Ho: 0.750 0.750 0.750
In: 0.500 0.500 0.500

6.
The following is a DFT calculation (GGA-PBE) of a relaxed structure of HoTlInAg.

E_form ... -0.194 eV per atom

a = 5.134 Å, b = 5.134 Å, c = 5.134 Å
α = 60.00°, β = 60.00°, γ = 60.00°
Sites, in units of the cell vectors:
Ag: 0.250 0.250 0.250
In: 0.500 0.500 0.500
Tl: 0.750 0.750 0.750
Ho: 0.000 0.000 0.000